# 1
ReSi2Ni | meta-GGA SCAN | PBEsol geometry

Computed properties:
**E_form (uncorrected)**: 127.9 kJ/mol of formula units

```
data_ReSi2Ni
_space_group_name_H-M_alt 'F -4 3 m'
_space_group_IT_number 216
_space_group_name_Hall 'F -4 2 3'
_cell_length_a 5.8727
_cell_length_b 5.8727
_cell_length_c 5.8727
_cell_angle_alpha 90.00
_cell_angle_beta 90.00
_cell_angle_gamma 90.00
loop_
_atom_site_label
_atom_site_type_symbol
_atom_site_fract_x
_atom_site_fract_y
_atom_site_fract_z
Re1 Re 0.0000 0.0000 0.0000
Si1 Si 0.0000 0.0000 0.5000
Si2 Si 0.2500 0.2500 0.7500
Ni1 Ni 0.2500 0.2500 0.2500
```

---

# 2
Na5As4 | meta-GGA SCAN | PBEsol geometry

Computed properties:
**Formation energy**: -500 meV/atom

```
data_Na5As4
_space_group_name_H-M_alt 'C 1 2/m 1'
_space_group_IT_number 12
_space_group_name_Hall '-C 2y'
_cell_length_a 10.4298
_cell_length_b 4.6104
_cell_length_c 9.5255
_cell_angle_alpha 90.00
_cell_angle_beta 110.49
_cell_angle_gamma 90.00
loop_
_atom_site_label
_atom_site_type_symbol
_atom_site_fract_x
_atom_site_fract_y
_atom_site_fract_z
Na1 Na 0.0000 0.0000 0.0000
Na2 Na 0.1009 0.0000 0.3873
Na3 Na 0.2456 0.0000 0.8364
As1 As 0.0437 0.5000 0.8303
As2 As 0.1075 0.5000 0.6079
```

---

# 3
TeSe5 | meta-GGA SCAN | PBEsol geometry

Computed properties:
**E_form (uncorrected)**: 118.8 kJ/mol of formula units

```
data_TeSe5
_space_group_name_H-M_alt 'C m m m'
_space_group_IT_number 65
_space_group_name_Hall '-C 2 2'
_cell_length_a 7.4456
_cell_length_b 11.4014
_cell_length_c 3.7389
_cell_angle_alpha 90.00
_cell_angle_beta 90.00
_cell_angle_gamma 90.00
loop_
_atom_site_label
_atom_site_type_symbol
_atom_site_fract_x
_atom_site_fract_y
_atom_site_fract_z
Te1 Te 0.0000 0.0000 0.0000
Se1 Se 0.0000 0.1769 0.5000
Se2 Se 0.0000 0.3404 0.0000
Se3 Se 0.0000 0.5000 0.5000
```

---

# 4
LaSc3Br | meta-GGA SCAN | PBEsol geometry

Computed properties:
**E_form (uncorrected)**: 452.5 kJ/mol of formula units

```
data_LaSc3Br
_space_group_name_H-M_alt 'P m -3 m'
_space_group_IT_number 221
_space_group_name_Hall '-P 4 2 3'
_cell_length_a 5.2947
_cell_length_b 5.2947
_cell_length_c 5.2947
_cell_angle_alpha 90.00
_cell_angle_beta 90.00
_cell_angle_gamma 90.00
loop_
_atom_site_label
_atom_site_type_symbol
_atom_site_fract_x
_atom_site_fract_y
_atom_site_fract_z
La1 La 0.0000 0.0000 0.0000
Sc1 Sc 0.0000 0.0000 0.5000
Br1 Br 0.5000 0.5000 0.5000
```

---

# 5
LaAlTlGe2 | meta-GGA SCAN | PBEsol geometry

Computed properties:
**Formation energy**: 699 meV/atom

```
data_LaAlTlGe2
_space_group_name_H-M_alt 'P 4/m m m'
_space_group_IT_number 123
_space_group_name_Hall '-P 4 2'
_cell_length_a 5.1463
_cell_length_b 5.1463
_cell_length_c 5.9601
_cell_angle_alpha 90.00
_cell_angle_beta 90.00
_cell_angle_gamma 90.00
loop_
_atom_site_label
_atom_site_type_symbol
_atom_site_fract_x
_atom_site_fract_y
_atom_site_fract_z
La1 La 0.0000 0.0000 0.0000
Al1 Al 0.5000 0.5000 0.0000
Tl1 Tl 0.0000 0.0000 0.5000
Ge1 Ge 0.0000 0.5000 0.5000
```

---

# 6
Al2CoCu | meta-GGA SCAN | PBEsol geometry

Computed properties:
**Formation energy**: -231 meV/atom

```
data_Al2CoCu
_space_group_name_H-M_alt 'P m m 2'
_space_group_IT_number 25
_space_group_name_Hall 'P 2 -2'
_cell_length_a 2.8155
_cell_length_b 3.4652
_cell_length_c 5.1128
_cell_angle_alpha 90.00
_cell_angle_beta 90.00
_cell_angle_gamma 90.00
loop_
_atom_site_label
_atom_site_type_symbol
_atom_site_fract_x
_atom_site_fract_y
_atom_site_fract_z
Al1 Al 0.0000 0.0000 0.0000
Al2 Al 0.5000 0.5000 0.3128
Co1 Co 0.0000 0.0000 0.5041
Cu1 Cu 0.5000 0.5000 0.7852
```

---

# 7
TiMnGaMo2 | meta-GGA SCAN | PBEsol geometry

Computed properties:
**Formation energy**: 1070 meV/atom

```
data_TiMnGaMo2
_space_group_name_H-M_alt 'P 4/m m m'
_space_group_IT_number 123
_space_group_name_Hall '-P 4 2'
_cell_length_a 4.5861
_cell_length_b 4.5861
_cell_length_c 4.2731
_cell_angle_alpha 90.00
_cell_angle_beta 90.00
_cell_angle_gamma 90.00
loop_
_atom_site_label
_atom_site_type_symbol
_atom_site_fract_x
_atom_site_fract_y
_atom_site_fract_z
Ti1 Ti 0.0000 0.0000 0.0000
Mn1 Mn 0.5000 0.5000 0.0000
Ga1 Ga 0.5000 0.5000 0.5000
Mo1 Mo 0.0000 0.5000 0.5000
```

---

# 8
Ni3As2 | meta-GGA SCAN | PBEsol geometry

Computed properties:
**Formation energy**: 42 meV/atom

```
data_Ni3As2
_space_group_name_H-M_alt 'R -3 m'
_space_group_IT_number 166
_space_group_name_Hall '-R 3 2"'
_cell_length_a 2.8712
_cell_length_b 2.8712
_cell_length_c 26.8249
_cell_angle_alpha 90.00
_cell_angle_beta 90.00
_cell_angle_gamma 120.00
loop_
_atom_site_label
_atom_site_type_symbol
_atom_site_fract_x
_atom_site_fract_y
_atom_site_fract_z
Ni1 Ni 0.0000 0.0000 0.0000
Ni2 Ni 0.0000 0.0000 0.2012
As1 As 0.0000 0.0000 0.4018
```

---

> Number 5 is which compound?

LaAlTlGe2

---

> Which formula does entry 4 have?

LaSc3Br

---

What did the second record say?
Na5As4 | meta-GGA SCAN | PBEsol geometry

Computed properties:
**Formation energy**: -500 meV/atom

```
data_Na5As4
_space_group_name_H-M_alt 'C 1 2/m 1'
_space_group_IT_number 12
_space_group_name_Hall '-C 2y'
_cell_length_a 10.4298
_cell_length_b 4.6104
_cell_length_c 9.5255
_cell_angle_alpha 90.00
_cell_angle_beta 110.49
_cell_angle_gamma 90.00
loop_
_atom_site_label
_atom_site_type_symbol
_atom_site_fract_x
_atom_site_fract_y
_atom_site_fract_z
Na1 Na 0.0000 0.0000 0.0000
Na2 Na 0.1009 0.0000 0.3873
Na3 Na 0.2456 0.0000 0.8364
As1 As 0.0437 0.5000 0.8303
As2 As 0.1075 0.5000 0.6079
```